## Sm3ZnSe6 (PBE)

Data for an optimized crystal structure of Sm3ZnSe6.

* volume: 27.609 Å³ per atom
* E_form (uncorrected): -14.8 eV per formula unit
* space-group type: Cmc2_1 (36)

POSCAR file:
```
Sm3ZnSe6
1.0
-4.844 -2.669 3.771
-4.915 -1.763 -7.563
4.970 -7.671 0.956
Sm Zn Se
6 2 12
direct
0.478 0.926 0.720 Sm
0.978 0.720 0.926 Sm
0.394 0.388 0.612 Sm
0.894 0.612 0.388 Sm
0.978 0.074 0.280 Sm
0.478 0.280 0.074 Sm
0.027 0.199 0.801 Zn
0.527 0.801 0.199 Zn
0.188 0.682 0.639 Se
0.688 0.639 0.682 Se
0.199 0.436 0.908 Se
0.699 0.908 0.436 Se
0.169 0.037 0.963 Se
0.666 0.223 0.777 Se
0.166 0.777 0.223 Se
0.669 0.963 0.037 Se
0.199 0.092 0.564 Se
0.699 0.564 0.092 Se
0.188 0.361 0.318 Se
0.688 0.318 0.361 Se
```